An optimized crystal structure of NdThCdSn, computed with PBE.

Cell lengths 5.4625, 5.4625, 5.4625 Å; angles 60.00, 60.00, 60.00 degrees
Last column: nearest neighbours and their distance in Å.
Fractional coordinates of all 4 atoms:
Nd: 0.0000 0.0000 0.0000  4 Cd 3.35, 4 Sn 3.35
Sn: 0.2500 0.2500 0.2500  4 Nd 3.35, 4 Th 3.35
Th: 0.5000 0.5000 0.5000  4 Sn 3.35, 4 Cd 3.35
Cd: 0.7500 0.7500 0.7500  4 Th 3.35, 4 Nd 3.35

DOS at the Fermi energy = 4.0 states/eV/f.u.
ΔH_f (0 K) = -0.360 eV per atom

An optimized crystal structure of Li2MoPb2, computed with PBE.

Cell lengths 7.7867, 7.7867, 3.1970 Å; angles 90.00, 90.00, 90.00 degrees
Last column: nearest neighbours and their distance in Å.
Fractional coordinates of all 10 atoms:
Pb: 0.3370 0.8370 0.0000  6 Li 2.71-2.85, 2 Mo 2.92
Pb: 0.8370 0.6630 0.0000  6 Li 2.71-2.85, 2 Mo 2.92
Pb: 0.6630 0.1630 0.0000  6 Li 2.71-2.85, 2 Mo 2.92
Pb: 0.1630 0.3370 0.0000  6 Li 2.71-2.85, 2 Mo 2.92
Mo: 0.0000 0.0000 0.0000  4 Pb 2.92, 2 Mo 3.20
Mo: 0.5000 0.5000 0.0000  4 Pb 2.92, 2 Mo 3.20
Li: 0.1384 0.6384 0.5000  6 Pb 2.71-2.85
Li: 0.6384 0.8616 0.5000  6 Pb 2.71-2.85
Li: 0.8616 0.3616 0.5000  6 Pb 2.71-2.85
Li: 0.3616 0.1384 0.5000  6 Pb 2.71-2.85

DOS at the Fermi energy = 2.7 states/eV/f.u.
ΔH_f (0 K) = 0.303 eV per atom

An optimized crystal structure of TiHg2Sb, computed with PBE.

Cell lengths 8.1822, 8.1822, 6.4404 Å; angles 50.56, 50.56, 90.00 degrees
Last column: nearest neighbours and their distance in Å.
Fractional coordinates of all 8 atoms:
Sb: 0.0000 0.0000 0.0000  2 Ti 2.83, 4 Hg 3.09
Sb: 0.7500 0.2500 0.5000  2 Ti 2.83, 4 Hg 3.09
Hg: 0.6060 0.1250 0.2500  2 Hg 2.85, 2 Ti 2.87, 2 Sb 3.09
Hg: 0.1440 0.6250 0.2500  2 Hg 2.85, 2 Ti 2.87, 2 Sb 3.09
Hg: 0.3750 0.3940 0.7500  2 Hg 2.85, 2 Ti 2.87, 2 Sb 3.09
Hg: 0.8750 0.8560 0.7500  2 Hg 2.85, 2 Ti 2.87, 2 Sb 3.09
Ti: 0.5000 0.5000 0.0000  2 Sb 2.83, 4 Hg 2.87
Ti: 0.2500 0.7500 0.5000  2 Sb 2.83, 4 Hg 2.87

DOS at the Fermi energy = 2.6 states/eV/f.u.
formation energy without anion corrections = 0.15 eV per atom

An optimized crystal structure of KAs2BrN, computed with PBE.

Cell lengths 7.6674, 7.6674, 6.0530 Å; angles 90.00, 90.00, 90.00 degrees
Last column: nearest neighbours and their distance in Å.
Fractional coordinates of all 5 atoms:
As: 0.0000 0.5000 0.0000  2 K 3.83
As: 0.5000 0.0000 0.0000  2 K 3.83
K: 0.0000 0.0000 0.0000  2 Br 3.03
Br: 0.0000 0.0000 0.5000  2 K 3.03
N: 0.5000 0.5000 0.5000  8 As 4.88, 4 Br 5.42

formation energy without anion corrections = 1.68 eV per atom

An optimized crystal structure of Mg2Tl, computed with PBE.

Cell lengths 4.7322, 4.7322, 3.7225 Å; angles 90.00, 90.00, 90.00 degrees
Last column: nearest neighbours and their distance in Å.
Fractional coordinates of all 3 atoms:
Mg: 0.0000 0.5000 0.5000  4 Tl 3.01, 4 Mg 3.35
Mg: 0.5000 0.0000 0.5000  4 Tl 3.01, 4 Mg 3.35
Tl: 0.0000 0.0000 0.0000  8 Mg 3.01

DOS at the Fermi energy = 1.5 states/eV/f.u.
ΔH_f (0 K) = 0.130 eV per atom

An optimized crystal structure of Pr3MoN6, computed with PBE.

Cell lengths 5.5737, 7.8723, 7.8723 Å; angles 102.47, 90.00, 90.00 degrees
Last column: nearest neighbours and their distance in Å.
Fractional coordinates of all 20 atoms:
Pr: 0.4732 0.9201 0.7032  5 N 2.42-2.57
Pr: 0.9732 0.7032 0.9201  5 N 2.42-2.57
Pr: 0.4445 0.3922 0.6078  7 N 2.47-2.66
Pr: 0.9445 0.6078 0.3922  7 N 2.47-2.66
Pr: 0.9732 0.0799 0.2968  5 N 2.42-2.57
Pr: 0.4732 0.2968 0.0799  5 N 2.42-2.57
Mo: 0.0165 0.1973 0.8027  4 N 1.86-1.91
Mo: 0.5165 0.8027 0.1973  4 N 1.86-1.91
N: 0.2152 0.6673 0.6520  4 Pr 2.42-2.50
N: 0.7152 0.6520 0.6673  4 Pr 2.42-2.50
N: 0.1675 0.4104 0.8869  1 Mo 1.87
N: 0.6675 0.8869 0.4104  1 Mo 1.87
N: 0.1368 0.0560 0.9440  1 Mo 1.86
N: 0.6757 0.2100 0.7900  1 Mo 1.91
N: 0.1757 0.7900 0.2100  1 Mo 1.91
N: 0.6368 0.9440 0.0560  1 Mo 1.86
N: 0.1675 0.1131 0.5896  1 Mo 1.87
N: 0.6675 0.5896 0.1131  1 Mo 1.87
N: 0.2152 0.3480 0.3327  4 Pr 2.42-2.50
N: 0.7152 0.3327 0.3480  4 Pr 2.42-2.50

DOS at the Fermi energy = 5.9 states/eV/f.u.
formation energy without anion corrections = -0.62 eV per atom

An optimized crystal structure of DyHoScGa, computed with PBE.

Cell lengths 5.1909, 5.1909, 5.1909 Å; angles 60.00, 60.00, 60.00 degrees
Last column: nearest neighbours and their distance in Å.
Fractional coordinates of all 4 atoms:
Sc: 0.7500 0.7500 0.7500  4 Dy 3.18, 4 Ho 3.18
Ho: 0.0000 0.0000 0.0000  4 Sc 3.18, 4 Ga 3.18
Ga: 0.2500 0.2500 0.2500  4 Dy 3.18, 4 Ho 3.18
Dy: 0.5000 0.5000 0.5000  4 Sc 3.18, 4 Ga 3.18

DOS at the Fermi energy = 5.8 states/eV/f.u.
ΔH_f (0 K) = -0.141 eV per atom

An optimized crystal structure of OsAuSe2, computed with PBE.

Cell lengths 9.4732, 9.4732, 9.4732 Å; angles 19.24, 19.24, 19.24 degrees
Last column: nearest neighbours and their distance in Å.
Fractional coordinates of all 4 atoms:
Au: 0.4936 0.4936 0.4936  3 Se 2.75, 3 Os 2.86
Os: 0.7482 0.7482 0.7482  3 Se 2.43
Se: 0.0240 0.0240 0.0240  3 Os 2.43
Se: 0.2342 0.2342 0.2342  3 Au 2.75

DOS at the Fermi energy = 3.6 states/eV/f.u.
formation energy without anion corrections = 0.37 eV per atom